Entry from the Alexandria database: crystalline NaAcCuO3 at its relaxed geometry (GGA-PBE).

Calculated values
Uncorrected energy, Ha/atom: -0.218

```
data_NaAcCuO3
_space_group_name_H-M_alt 'P 1 21/m 1'
_space_group_IT_number 11
_space_group_name_Hall '-P 2yb'
_cell_length_a 7.050
_cell_length_b 3.896
_cell_length_c 8.213
_cell_angle_alpha 90.00
_cell_angle_beta 109.39
_cell_angle_gamma 90.00
loop_
_atom_site_label
_atom_site_type_symbol
_atom_site_fract_x
_atom_site_fract_y
_atom_site_fract_z
Na1 Na 0.174 0.250 0.143
Ac1 Ac 0.284 0.750 0.818
Cu1 Cu 0.470 0.750 0.369
O1 O 0.084 0.250 0.834
O2 O 0.444 0.750 0.129
O3 O 0.490 0.250 0.389
```

---

Entry from the Alexandria database: crystalline NaAcCu2O5 at its relaxed geometry (GGA-PBE).

Calculated values
Uncorrected energy, Ha/atom: -0.209

```
data_NaAcCu2O5
_space_group_name_H-M_alt 'P 4/m m m'
_space_group_IT_number 123
_space_group_name_Hall '-P 4 2'
_cell_length_a 3.866
_cell_length_b 3.866
_cell_length_c 7.268
_cell_angle_alpha 90.00
_cell_angle_beta 90.00
_cell_angle_gamma 90.00
loop_
_atom_site_label
_atom_site_type_symbol
_atom_site_fract_x
_atom_site_fract_y
_atom_site_fract_z
Na1 Na 0.000 0.000 0.000
Ac1 Ac 0.000 0.000 0.500
Cu1 Cu 0.500 0.500 0.225
O1 O 0.000 0.500 0.230
O2 O 0.500 0.500 0.500
```

---

Which formation energy (no corrections) belongs to each record? In order, -43.0; -32.9 kcal/mol of atoms.